Compound: Be2CuW
Source: the Alexandria database
Functional: GGA-PBEsol
Structure: relaxed

```
Be2CuW
1.0
0.0000 2.8259 2.8259
2.8259 0.0000 2.8259
2.8259 2.8259 0.0000
Be Cu W
2 1 1
Cartesian
0.0000 0.0000 0.0000
1.4129 1.4129 1.4129
2.8259 2.8259 2.8259
4.2388 4.2388 4.2388
```

Summary:
calculated formation energy	0.4856	eV per atom
ρ	9.77	g cm⁻³
uncorrected energy	-6.050	eV per atom
size of the total moment	0.578	μB per formula unit
symmetry	F-43m, No. 216

Compound: Sr2CdWSe
Source: the Alexandria database
Functional: GGA-PBEsol
Structure: relaxed

```
Sr2CdWSe
1.0
5.6509 0.0000 0.0000
0.0000 5.6509 0.0000
0.0000 0.0000 5.0870
Sr Cd W Se
2 1 1 1
Cartesian
0.0000 2.8254 0.0000
2.8254 0.0000 0.0000
0.0000 0.0000 2.5435
0.0000 0.0000 0.0000
2.8254 2.8254 2.5435
```

Summary:
uncorrected formation energy	77	kJ per mole of atoms
ρ	5.63	g cm⁻³
uncorrected energy	-3.706	eV per atom
size of the total moment	1.470	μB per formula unit
symmetry	P4/mmm, No. 123